[1]
RbCaZrV2 | the Alexandria database | PBE | optimized geometry; DFT formation energy = 1427 meV per atom; crystal system = tetragonal
1.0
-4.241 2.446 -0.805
-1.666 -1.026 5.654
2.173 4.232 1.408
V Rb Zr Ca
2 1 1 1
direct
0.000 0.000 0.500
0.500 0.000 0.000
0.000 0.500 0.000
0.000 0.000 0.000
0.500 0.500 0.500

[2]
HoTm3Hf2N6 | the Alexandria database | PBE | optimized geometry; crystal system = monoclinic; energy = -9.15 eV per atom
1.0
-1.018 -2.610 -1.795
4.362 -3.914 3.216
-5.485 0.844 4.969
Tm N Hf Ho
3 6 2 1
direct
0.500 0.500 0.000
0.167 0.833 0.333
0.833 0.167 0.667
0.331 0.901 0.662
0.329 0.426 0.658
0.669 0.099 0.338
0.007 0.257 0.014
0.993 0.743 0.986
0.671 0.574 0.342
0.167 0.334 0.334
0.833 0.666 0.666
0.500 0.000 0.000

[3]
NdY2Th3Bi6 | the Alexandria database | PBE | optimized geometry; DFT formation energy = -741 meV per atom; crystal system = monoclinic
1.0
-1.715 -4.174 0.718
4.344 -3.057 -7.389
7.479 0.616 6.908
Y Bi Th Nd
2 6 3 1
direct
0.167 0.333 0.333
0.833 0.667 0.667
0.669 0.579 0.337
0.003 0.251 0.006
0.668 0.089 0.335
0.331 0.421 0.663
0.997 0.749 0.994
0.332 0.911 0.665
0.165 0.833 0.330
0.500 0.500 0.000
0.835 0.167 0.670
0.500 0.000 0.000

[4]
Er2Sn2Rh3 | the Alexandria database | PBE | optimized geometry; DFT formation energy = -682 meV per atom; crystal system = monoclinic
1.0
4.492 0.002 -1.252
-2.419 3.978 -0.003
-0.157 -0.097 8.096
Er Rh Sn
2 3 2
direct
0.755 0.878 0.632
0.245 0.122 0.368
0.484 0.741 0.225
0.516 0.259 0.775
0.000 0.000 0.000
0.764 0.382 0.145
0.236 0.618 0.855

[5]
LaSc2Au2 | the Alexandria database | PBE | optimized geometry; DFT formation energy = -427 meV per atom; crystal system = tetragonal
1.0
5.075 0.000 0.000
0.000 5.075 0.000
2.537 2.537 5.098
La Au Sc
1 2 2
direct
0.000 0.000 0.000
0.250 0.750 0.500
0.750 0.250 0.500
0.652 0.652 0.696
0.348 0.348 0.304

[6]
PmAlHPt2 | the Alexandria database | PBE | optimized geometry; crystal system = orthorhombic; energy = -5.75 eV per atom
1.0
-1.666 -3.263 1.365
2.821 2.729 4.368
-6.132 3.795 1.590
Pm Pt H Al
2 4 2 2
direct
0.443 0.887 0.750
0.557 0.113 0.250
0.843 0.686 0.445
0.843 0.686 0.055
0.157 0.314 0.945
0.157 0.314 0.555
0.000 0.000 0.000
0.000 0.000 0.500
0.275 0.550 0.250
0.725 0.450 0.750

[7]
NbIn3Sb | the Alexandria database | PBE | optimized geometry; crystal system = cubic; energy = -3.24 eV per atom
1.0
5.612 0.000 0.000
0.000 5.612 0.000
0.000 0.000 5.612
In Nb Sb
3 1 1
direct
0.000 0.500 0.000
0.500 0.000 0.000
0.000 0.000 0.500
0.500 0.500 0.500
0.000 0.000 0.000

[8]
CaGeCl2 | the Alexandria database | PBE | optimized geometry; crystal system = cubic; energy = -3.37 eV per atom
1.0
-2.198 -0.833 4.482
-2.936 3.560 2.079
-5.006 -0.691 0.274
Cl Ca Ge
2 1 1
direct
0.750 0.750 0.750
0.250 0.250 0.250
0.000 0.000 0.000
0.500 0.500 0.500

[9]
BaLiGdIn | the Alexandria database | PBE | optimized geometry; DFT formation energy = -131 meV per atom; crystal system = cubic
1.0
-3.055 -4.727 0.872
0.811 -4.565 -3.308
2.499 -4.653 2.131
Gd In Li Ba
1 1 1 1
direct
0.500 0.500 0.500
0.750 0.750 0.750
0.250 0.250 0.250
0.000 0.000 0.000

[10]
Ta2FeTcN | the Alexandria database | PBE | optimized geometry; crystal system = tetragonal; energy = -10.58 eV per atom
1.0
4.309 0.000 0.000
0.000 4.309 0.000
0.000 0.000 3.651
Fe Tc N Ta
1 1 1 2
direct
0.000 0.000 0.500
0.500 0.500 0.500
0.000 0.000 0.000
0.000 0.500 0.000
0.500 0.000 0.000

[11]
Li3H6Pd2 | the Alexandria database | PBE | optimized geometry; crystal system = tetragonal; energy = -3.62 eV per atom
1.0
-2.612 -1.527 -1.801
0.073 -2.736 2.215
-3.946 5.680 4.348
H Pd Li
6 2 3
direct
0.916 0.416 0.831
0.300 0.300 0.601
0.584 0.084 0.169
0.700 0.700 0.399
0.084 0.584 0.169
0.416 0.916 0.831
0.591 0.591 0.182
0.409 0.409 0.818
0.000 0.000 0.000
0.822 0.822 0.643
0.178 0.178 0.357

[12]
Pu2Al3ZnAu12 | the Alexandria database | PBE | optimized geometry; DFT formation energy = -67 meV per atom; crystal system = trigonal
1.0
8.092 -0.274 -0.194
3.758 7.172 -0.194
3.758 2.188 6.832
Au Pu Al Zn
12 2 3 1
direct
0.362 0.362 0.890
0.868 0.868 0.372
0.628 0.132 0.132
0.372 0.868 0.868
0.868 0.372 0.868
0.890 0.362 0.362
0.638 0.110 0.638
0.362 0.890 0.362
0.132 0.132 0.628
0.132 0.628 0.132
0.110 0.638 0.638
0.638 0.638 0.110
0.387 0.387 0.387
0.613 0.613 0.613
0.000 0.000 0.500
0.500 0.000 0.000
0.000 0.500 0.000
0.000 0.000 0.000